Below is an optimized crystal structure of Ca2AsClO4, with properties calculated at the GGA-PBE level.

Structure (CIF):
```
data_Ca2AsClO4
_chemical_formula_sum 'Ca4 As2 Cl2 O8'
_space_group_name_H-M_alt 'C 1 2/m 1'
_space_group_IT_number 12
_cell_length_a 9.5740
_cell_length_b 3.1927
_cell_length_c 8.9983
_cell_angle_alpha 90.00
_cell_angle_beta 115.65
_cell_angle_gamma 90.00
loop_
_space_group_symop_operation_xyz
'x,y,z'
'-x,-y,-z'
'-x,y,-z'
'x,-y,z'
'x+1/2,y+1/2,z'
'-x+1/2,-y+1/2,-z'
'-x+1/2,y+1/2,-z'
'x+1/2,-y+1/2,z'
loop_
_atom_site_label
_atom_site_type_symbol
_atom_site_fract_x
_atom_site_fract_y
_atom_site_fract_z
_atom_site_occupancy
Ca1 Ca 0.1723 0.0000 0.2723 1
As1 As 0.0000 0.0000 0.5000 1
Cl1 Cl 0.0000 0.5000 0.0000 1
O1 O 0.1065 0.5000 0.4455 1
O2 O 0.1460 0.0000 0.7018 1
```

Properties
The value obtained for the energy is -0.42834 Ry per atom. As for the energy relative to the lowest polymorph listed for this composition: 2.34 eV/f.u. For the calculated volume, the calculation gives 248.0 Å³/cell. The magnetization is 0.000 μB per atom.

Below is an optimized crystal structure of Ca5As3ClO12, with properties calculated at the GGA-PBE level.

Structure (CIF):
```
data_Ca5As3ClO12
_chemical_formula_sum 'Ca10 As6 Cl2 O24'
_space_group_name_H-M_alt 'P 63'
_space_group_IT_number 173
_cell_length_a 10.3434
_cell_length_b 10.3434
_cell_length_c 6.8211
_cell_angle_alpha 90.00
_cell_angle_beta 90.00
_cell_angle_gamma 120.00
loop_
_space_group_symop_operation_xyz
'x,y,z'
'x-y,x,z+1/2'
'-y,x-y,z'
'-x,-y,z+1/2'
'-x+y,-x,z'
'y,-x+y,z+1/2'
loop_
_atom_site_label
_atom_site_type_symbol
_atom_site_fract_x
_atom_site_fract_y
_atom_site_fract_z
_atom_site_occupancy
Ca1 Ca 0.0327 0.2786 0.0000 1
Ca2 Ca 0.3333 0.6667 0.2554 1
Ca3 Ca 0.3333 0.6667 0.7454 1
As1 As 0.0292 0.6189 0.0010 1
Cl1 Cl 0.0000 0.0000 0.0319 1
O1 O 0.0849 0.7374 0.8020 1
O2 O 0.0870 0.7359 0.2015 1
O3 O 0.1428 0.5389 0.9994 1
O4 O 0.1548 0.5159 0.5012 1
```

Properties
The value obtained for the energy is -0.46883 Ry per atom. For the calculated volume, the calculation gives 632.0 Å³/cell. The magnetization is 0.000 μB per atom.

Below is an optimized crystal structure of Ca2As3Pb3ClO12, with properties calculated at the GGA-PBE level.

Structure (CIF):
```
data_Ca2As3Pb3ClO12
_chemical_formula_sum 'Ca4 As6 Pb6 Cl2 O24'
_space_group_name_H-M_alt 'P 63/m'
_space_group_IT_number 176
_space_group_name_Hall '-P 6c'
_cell_length_a 10.4317
_cell_length_b 10.4317
_cell_length_c 7.1583
_cell_angle_alpha 90.00
_cell_angle_beta 90.00
_cell_angle_gamma 120.00
loop_
_atom_site_label
_atom_site_type_symbol
_atom_site_fract_x
_atom_site_fract_y
_atom_site_fract_z
_atom_site_occupancy
Ca1 Ca 0.3333 0.6667 0.0066 1
As1 As 0.0292 0.4228 0.7500 1
Pb1 Pb 0.0314 0.7676 0.7500 1
Cl1 Cl 0.0000 0.0000 0.0000 1
O1 O 0.0866 0.3635 0.5588 1
O2 O 0.1464 0.6149 0.7500 1
O3 O 0.1539 0.6285 0.2500 1
```

Properties
The value obtained for the energy is -0.44373 Ry per atom. For the calculated volume, the calculation gives 674.6 Å³/cell. The magnetization is 0.000 μB per atom.

Below is an optimized crystal structure of CaAsP2Cl, with properties calculated at the GGA-PBE level.

Structure (CIF):
```
data_CaAsP2Cl
_chemical_formula_sum 'Ca1 As1 P2 Cl1'
_space_group_name_H-M_alt 'P 4/m m m'
_space_group_IT_number 123
_space_group_name_Hall '-P 4 2'
_cell_length_a 5.5048
_cell_length_b 5.5048
_cell_length_c 4.9656
_cell_angle_alpha 90.00
_cell_angle_beta 90.00
_cell_angle_gamma 90.00
loop_
_atom_site_label
_atom_site_type_symbol
_atom_site_fract_x
_atom_site_fract_y
_atom_site_fract_z
_atom_site_occupancy
Ca1 Ca 0.0000 0.0000 0.0000 1
As1 As 0.5000 0.5000 0.5000 1
P1 P 0.0000 0.5000 0.0000 1
Cl1 Cl 0.0000 0.0000 0.5000 1
```

Properties
The value obtained for the energy is -0.23635 Ry per atom. As for the energy relative to the lowest polymorph listed for this composition: 3.96 eV/f.u. For the calculated volume, the calculation gives 150.5 Å³/cell. The magnetization is 0.138 μB per atom.

Below is an optimized crystal structure of CaAsP2Cl, with properties calculated at the GGA-PBE level.

Structure (CIF):
```
data_CaAsP2Cl
_chemical_formula_sum 'Ca1 As1 P2 Cl1'
_space_group_name_H-M_alt 'P 4/m m m'
_space_group_IT_number 123
_space_group_name_Hall '-P 4 2'
_cell_length_a 4.7331
_cell_length_b 4.7331
_cell_length_c 5.2337
_cell_angle_alpha 90.00
_cell_angle_beta 90.00
_cell_angle_gamma 90.00
loop_
_atom_site_label
_atom_site_type_symbol
_atom_site_fract_x
_atom_site_fract_y
_atom_site_fract_z
_atom_site_occupancy
Ca1 Ca 0.0000 0.0000 0.0000 1
As1 As 0.5000 0.5000 0.5000 1
P1 P 0.0000 0.5000 0.5000 1
Cl1 Cl 0.5000 0.5000 0.0000 1
```

Properties
The value obtained for the energy is -0.29456 Ry per atom. As for the energy relative to the lowest polymorph listed for this composition: 0.00 eV/f.u. For the calculated volume, the calculation gives 117.2 Å³/cell. The magnetization is 0.000 μB per atom.

Below is an optimized crystal structure of CaAsPCl2, with properties calculated at the GGA-PBE level.

Structure (CIF):
```
data_CaAsPCl2
_chemical_formula_sum 'Ca1 As1 P1 Cl2'
_space_group_name_H-M_alt 'P 4/m m m'
_space_group_IT_number 123
_space_group_name_Hall '-P 4 2'
_cell_length_a 5.0305
_cell_length_b 5.0305
_cell_length_c 4.9068
_cell_angle_alpha 90.00
_cell_angle_beta 90.00
_cell_angle_gamma 90.00
loop_
_atom_site_label
_atom_site_type_symbol
_atom_site_fract_x
_atom_site_fract_y
_atom_site_fract_z
_atom_site_occupancy
Ca1 Ca 0.0000 0.0000 0.0000 1
As1 As 0.5000 0.5000 0.5000 1
P1 P 0.5000 0.5000 0.0000 1
Cl1 Cl 0.0000 0.5000 0.5000 1
```

Properties
The value obtained for the energy is -0.26718 Ry per atom. As for the energy relative to the lowest polymorph listed for this composition: 0.00 eV/f.u. For the calculated volume, the calculation gives 124.2 Å³/cell. The magnetization is 0.000 μB per atom.

Below is an optimized crystal structure of CaAsPCl2, with properties calculated at the GGA-PBE level.

Structure (CIF):
```
data_CaAsPCl2
_chemical_formula_sum 'Ca1 As1 P1 Cl2'
_space_group_name_H-M_alt 'P 4/m m m'
_space_group_IT_number 123
_space_group_name_Hall '-P 4 2'
_cell_length_a 4.8299
_cell_length_b 4.8299
_cell_length_c 6.2590
_cell_angle_alpha 90.00
_cell_angle_beta 90.00
_cell_angle_gamma 90.00
loop_
_atom_site_label
_atom_site_type_symbol
_atom_site_fract_x
_atom_site_fract_y
_atom_site_fract_z
_atom_site_occupancy
Ca1 Ca 0.0000 0.0000 0.0000 1
As1 As 0.0000 0.0000 0.5000 1
P1 P 0.5000 0.5000 0.0000 1
Cl1 Cl 0.0000 0.5000 0.5000 1
```

Properties
The value obtained for the energy is -0.23825 Ry per atom. As for the energy relative to the lowest polymorph listed for this composition: 1.97 eV/f.u. For the calculated volume, the calculation gives 146.0 Å³/cell. The magnetization is 0.357 μB per atom.

Below is an optimized crystal structure of CaAsPCl2, with properties calculated at the GGA-PBE level.

Structure (CIF):
```
data_CaAsPCl2
_chemical_formula_sum 'Ca1 As1 P1 Cl2'
_space_group_name_H-M_alt 'P 4/m m m'
_space_group_IT_number 123
_space_group_name_Hall '-P 4 2'
_cell_length_a 4.9968
_cell_length_b 4.9968
_cell_length_c 6.1851
_cell_angle_alpha 90.00
_cell_angle_beta 90.00
_cell_angle_gamma 90.00
loop_
_atom_site_label
_atom_site_type_symbol
_atom_site_fract_x
_atom_site_fract_y
_atom_site_fract_z
_atom_site_occupancy
Ca1 Ca 0.0000 0.0000 0.0000 1
As1 As 0.5000 0.5000 0.5000 1
P1 P 0.0000 0.0000 0.5000 1
Cl1 Cl 0.0000 0.5000 0.0000 1
```

Properties
The value obtained for the energy is -0.24065 Ry per atom. As for the energy relative to the lowest polymorph listed for this composition: 1.80 eV/f.u. For the calculated volume, the calculation gives 154.4 Å³/cell. The magnetization is 0.325 μB per atom.